No. 1
Density functional theory data (PBE) for Be2MoRh after structural relaxation.

Cell: 3.709 3.709 5.205 Å, 81.32 81.32 42.91°
Fractional positions:
Rh (0.750, 0.750, 0.750)
Mo (0.250, 0.250, 0.250)
Be (0.007, 0.007, 0.962)
Be (0.493, 0.493, 0.538)

Calculated values
Formation energy = -0.02 eV/atom
Energy above the lowest structure with this stoichiometry = 1.11 eV/f.u.

No. 2
Density functional theory data (PBE) for Be2MoRh after structural relaxation.

Cell: 4.632 4.632 4.632 Å, 135.85 135.85 64.22°
Fractional positions:
Mo (0.500, 0.500, 0.000)
Be (0.000, 0.000, 0.000)
Be (0.250, 0.750, 0.500)
Rh (0.750, 0.250, 0.500)

Calculated values
Formation energy = -0.09 eV/atom
Energy above the lowest structure with this stoichiometry = 0.82 eV/f.u.

No. 3
Density functional theory data (PBE) for Be2MoRh after structural relaxation.

Cell: 4.796 4.796 4.038 Å, 65.09 65.09 33.89°
Fractional positions:
Be (0.985, 0.985, 0.015)
Be (0.272, 0.272, 0.227)
Rh (0.733, 0.733, 0.766)
Mo (0.509, 0.509, 0.491)

Calculated values
Formation energy = -0.15 eV/atom
Energy above the lowest structure with this stoichiometry = 0.59 eV/f.u.

No. 4
Density functional theory data (PBE) for BeMoRh2 after structural relaxation.

Cell: 4.253 4.253 4.253 Å, 60.00 60.00 60.00°
Fractional positions:
Mo (0.250, 0.250, 0.250)
Rh (0.750, 0.750, 0.750)
Rh (0.000, 0.000, 0.000)
Be (0.500, 0.500, 0.500)

Calculated values
Formation energy = 0.12 eV/atom

No. 5
Density functional theory data (PBE) for BeMoRh2 after structural relaxation.

Cell: 6.224 4.504 2.759 Å, 89.86 63.72 123.69°
Fractional positions:
Rh (0.000, 0.000, 0.000)
Rh (0.500, 0.000, 0.500)
Mo (0.500, 0.500, 0.000)
Be (0.000, 0.500, 0.500)

Calculated values
Formation energy = -0.10 eV/atom

No. 6
Density functional theory data (PBE) for Be2MoRh after structural relaxation.

Cell: 2.897 4.452 3.794 Å, 90.00 90.00 90.00°
Fractional positions:
Be (0.000, 0.000, 0.000)
Be (0.500, 0.500, 0.000)
Mo (0.500, 0.000, 0.500)
Rh (0.000, 0.500, 0.500)

Calculated values
Formation energy = 0.05 eV/atom
Energy above the lowest structure with this stoichiometry = 1.39 eV/f.u.